{"formula": "Ti3Zn2Co2", "functional": "GGA-PBE", "state": "optimized geometry", "lattice_angstrom": [[1.445, -12.345, 0.000], [1.445, 12.345, 0.000], [0.000, 0.000, 2.872]], "species": ["Ti", "Ti", "Ti", "Zn", "Zn", "Co", "Co"], "frac_coords": [[0.000, 0.000, 0.000], [0.127, 0.873, 0.000], [0.873, 0.127, 0.000], [0.294, 0.706, 0.500], [0.706, 0.294, 0.500], [0.440, 0.560, 0.500], [0.560, 0.440, 0.500]], "crystal_system": "orthorhombic", "e_form_ev_per_atom": -0.215}

{"formula": "TiZn2Co2", "functional": "GGA-PBE", "state": "optimized geometry", "lattice_angstrom": [[-1.684, 1.684, 6.111], [1.684, -1.684, 6.111], [1.684, 1.684, -6.111]], "species": ["Ti", "Zn", "Zn", "Co", "Co"], "frac_coords": [[0.000, 0.000, 0.000], [0.250, 0.750, 0.500], [0.750, 0.250, 0.500], [0.405, 0.405, 0.000], [0.595, 0.595, 0.000]], "crystal_system": "tetragonal", "e_form_ev_per_atom": 0.097, "relative_energy_ev_per_fu": 0.749}

{"formula": "Ti2Zn6Co", "functional": "GGA-PBE", "state": "optimized geometry", "lattice_angstrom": [[3.471, -6.686, 0.000], [3.471, 6.686, 0.000], [-0.559, 0.000, 2.859]], "species": ["Ti", "Ti", "Zn", "Zn", "Zn", "Zn", "Zn", "Zn", "Co"], "frac_coords": [[0.161, 0.839, 0.000], [0.839, 0.161, 0.000], [0.178, 0.502, 0.644], [0.306, 0.306, 0.140], [0.498, 0.822, 0.356], [0.502, 0.178, 0.644], [0.694, 0.694, 0.860], [0.822, 0.498, 0.356], [0.000, 0.000, 0.500]], "crystal_system": "monoclinic", "e_form_ev_per_atom": -0.039}

{"formula": "Ti5ZnCo4", "functional": "GGA-PBE", "state": "optimized geometry", "lattice_angstrom": [[3.002, 0.000, 0.000], [0.000, 3.002, 0.000], [0.000, 0.000, 15.053]], "species": ["Ti", "Ti", "Ti", "Ti", "Ti", "Zn", "Co", "Co", "Co", "Co"], "frac_coords": [[0.000, 0.000, 0.000], [0.000, 0.000, 0.194], [0.000, 0.000, 0.387], [0.000, 0.000, 0.613], [0.000, 0.000, 0.806], [0.500, 0.500, 0.500], [0.500, 0.500, 0.096], [0.500, 0.500, 0.290], [0.500, 0.500, 0.710], [0.500, 0.500, 0.904]], "crystal_system": "tetragonal", "e_form_ev_per_atom": -0.337}

{"formula": "TiZnCo2", "functional": "GGA-PBE", "state": "optimized geometry", "lattice_angstrom": [[2.420, -1.393, 0.000], [2.420, 1.393, 0.000], [-1.617, 0.000, 7.754]], "species": ["Ti", "Zn", "Co", "Co"], "frac_coords": [[0.000, 0.000, 0.000], [0.167, 0.167, 0.499], [0.413, 0.413, 0.240], [0.586, 0.586, 0.758]], "crystal_system": "monoclinic", "e_form_ev_per_atom": -0.018}

{"formula": "Ti12Zn3Co", "functional": "GGA-PBE", "state": "optimized geometry", "lattice_angstrom": [[4.045, 0.000, 0.000], [0.000, 4.045, 0.000], [0.000, 0.000, 15.563]], "species": ["Ti", "Ti", "Ti", "Ti", "Ti", "Ti", "Ti", "Ti", "Ti", "Ti", "Ti", "Ti", "Zn", "Zn", "Zn", "Co"], "frac_coords": [[0.000, 0.000, 0.000], [0.000, 0.000, 0.243], [0.000, 0.000, 0.500], [0.000, 0.000, 0.757], [0.000, 0.500, 0.115], [0.000, 0.500, 0.372], [0.000, 0.500, 0.628], [0.000, 0.500, 0.885], [0.500, 0.000, 0.115], [0.500, 0.000, 0.372], [0.500, 0.000, 0.628], [0.500, 0.000, 0.885], [0.500, 0.500, 0.245], [0.500, 0.500, 0.500], [0.500, 0.500, 0.755], [0.500, 0.500, 0.000]], "crystal_system": "tetragonal", "e_form_ev_per_atom": -0.078}

{"formula": "Ti2ZnCo2", "functional": "GGA-PBE", "state": "optimized geometry", "lattice_angstrom": [[-1.742, 1.742, 6.218], [1.742, -1.742, 6.218], [1.742, 1.742, -6.218]], "species": ["Ti", "Ti", "Zn", "Co", "Co"], "frac_coords": [[0.119, 0.119, 0.000], [0.881, 0.881, 0.000], [0.500, 0.500, 0.000], [0.250, 0.750, 0.500], [0.750, 0.250, 0.500]], "crystal_system": "tetragonal", "e_form_ev_per_atom": 0.044}

{"formula": "Ti8ZnCo2", "functional": "GGA-PBE", "state": "optimized geometry", "lattice_angstrom": [[5.883, -2.727, 0.000], [5.883, 2.727, 0.000], [-1.142, 0.000, 5.432]], "species": ["Ti", "Ti", "Ti", "Ti", "Ti", "Ti", "Ti", "Ti", "Zn", "Co", "Co"], "frac_coords": [[0.094, 0.094, 0.410], [0.122, 0.661, 0.098], [0.306, 0.306, 0.685], [0.339, 0.878, 0.902], [0.661, 0.122, 0.098], [0.694, 0.694, 0.315], [0.878, 0.339, 0.902], [0.906, 0.906, 0.590], [0.500, 0.500, 0.500], [0.260, 0.260, 0.239], [0.740, 0.740, 0.761]], "crystal_system": "monoclinic", "e_form_ev_per_atom": -0.037}

{"formula": "Ti4ZnCo", "functional": "GGA-PBE", "state": "optimized geometry", "lattice_angstrom": [[2.912, -2.912, 0.000], [2.912, 2.912, 0.000], [-0.012, 0.000, 6.153]], "species": ["Ti", "Ti", "Ti", "Ti", "Zn", "Co"], "frac_coords": [[0.000, 0.500, 0.230], [0.000, 0.500, 0.770], [0.500, 0.000, 0.230], [0.500, 0.000, 0.770], [0.000, 0.000, 0.500], [0.500, 0.500, 0.000]], "crystal_system": "monoclinic", "e_form_ev_per_atom": 0.157, "relative_energy_ev_per_fu": 2.308}

{"formula": "Ti4ZnCo5", "functional": "GGA-PBE", "state": "optimized geometry", "lattice_angstrom": [[2.973, 0.000, 0.000], [0.000, 2.973, 0.000], [0.000, 0.000, 14.607]], "species": ["Ti", "Ti", "Ti", "Ti", "Zn", "Co", "Co", "Co", "Co", "Co"], "frac_coords": [[0.000, 0.000, 0.103], [0.000, 0.000, 0.309], [0.000, 0.000, 0.691], [0.000, 0.000, 0.897], [0.000, 0.000, 0.500], [0.500, 0.500, 0.000], [0.500, 0.500, 0.205], [0.500, 0.500, 0.399], [0.500, 0.500, 0.601], [0.500, 0.500, 0.795]], "crystal_system": "tetragonal", "e_form_ev_per_atom": -0.361}

{"formula": "Ti4ZnCo3", "functional": "GGA-PBE", "state": "optimized geometry", "lattice_angstrom": [[3.028, 0.000, 0.000], [0.000, 4.292, 0.000], [0.000, 0.000, 8.478]], "species": ["Ti", "Ti", "Ti", "Ti", "Zn", "Co", "Co", "Co"], "frac_coords": [[0.000, 0.000, 0.000], [0.000, 0.000, 0.500], [0.000, 0.500, 0.238], [0.000, 0.500, 0.762], [0.500, 0.500, 0.500], [0.500, 0.000, 0.251], [0.500, 0.000, 0.749], [0.500, 0.500, 0.000]], "crystal_system": "orthorhombic", "e_form_ev_per_atom": -0.308}

{"formula": "Zr2Ti5ZnCo2", "functional": "GGA-PBE", "state": "optimized geometry", "lattice_angstrom": [[10.423, 0.000, 0.000], [0.000, 10.423, 0.000], [0.000, 0.000, 3.096]], "species": ["Zr", "Zr", "Zr", "Zr", "Ti", "Ti", "Ti", "Ti", "Ti", "Ti", "Ti", "Ti", "Ti", "Ti", "Zn", "Zn", "Co", "Co", "Co", "Co"], "frac_coords": [[0.176, 0.324, 0.000], [0.324, 0.824, 0.000], [0.676, 0.176, 0.000], [0.824, 0.676, 0.000], [0.000, 0.500, 0.500], [0.061, 0.793, 0.500], [0.207, 0.061, 0.500], [0.293, 0.561, 0.500], [0.439, 0.293, 0.500], [0.500, 0.000, 0.500], [0.561, 0.707, 0.500], [0.707, 0.439, 0.500], [0.793, 0.939, 0.500], [0.939, 0.207, 0.500], [0.000, 0.000, 0.000], [0.500, 0.500, 0.000], [0.127, 0.627, 0.000], [0.373, 0.127, 0.000], [0.627, 0.873, 0.000], [0.873, 0.373, 0.000]], "crystal_system": "tetragonal", "e_form_ev_per_atom": -0.224}

Copy entry 10 word for word.
{"formula": "Ti4ZnCo5", "functional": "GGA-PBE", "state": "optimized geometry", "lattice_angstrom": [[2.973, 0.000, 0.000], [0.000, 2.973, 0.000], [0.000, 0.000, 14.607]], "species": ["Ti", "Ti", "Ti", "Ti", "Zn", "Co", "Co", "Co", "Co", "Co"], "frac_coords": [[0.000, 0.000, 0.103], [0.000, 0.000, 0.309], [0.000, 0.000, 0.691], [0.000, 0.000, 0.897], [0.000, 0.000, 0.500], [0.500, 0.500, 0.000], [0.500, 0.500, 0.205], [0.500, 0.500, 0.399], [0.500, 0.500, 0.601], [0.500, 0.500, 0.795]], "crystal_system": "tetragonal", "e_form_ev_per_atom": -0.361}